# RbHfCl6

A relaxed RbHfCl6 crystal (GGA-PBE, the Alexandria database).

Summary:
- ΔE_f (raw): -1.580 eV/atom

Cell: 8.3252 9.5915 6.4675 Å, 90.00 102.64 90.00°
Closest atoms and distances in Å follow each position.
Space group C2/m (No. 12)
Asymmetric unit:
Rb (0.0000, 0.0000, 0.0000) [2 per cell]  12 Cl 3.59-3.87
Hf (0.0000, 0.5000, 0.5000) [2 per cell]  6 Cl 2.45-2.46
Cl (0.0997, 0.3215, 0.7688) [8 per cell]  1 Hf 2.45
Cl (0.2282, 0.0000, 0.5896) [4 per cell]  1 Hf 2.46

***

# RbHf2Cl8

A relaxed RbHf2Cl8 crystal (GGA-PBE, the Alexandria database).

Summary:
- ΔE_f (raw): -1.700 eV/atom
- Energy relative to the lowest polymorph listed for this composition: 99 meV/atom

Cell: 9.4776 9.4776 5.0195 Å, 90.00 90.00 120.00°
Closest atoms and distances in Å follow each position.
Space group P-3 (No. 147)
Asymmetric unit:
Rb (0.0000, 0.0000, 0.0000) [1 per cell]  6 Cl 3.38
Hf (0.3333, 0.6667, 0.2679) [2 per cell]  5 Cl 2.37-2.51
Cl (0.1870, 0.3776, 0.2707) [6 per cell]  1 Hf 2.37
Cl (0.3333, 0.6667, 0.7687) [2 per cell]  2 Hf 2.51

***

# RbHfCl2

A relaxed RbHfCl2 crystal (GGA-PBE, the Alexandria database).

Summary:
- ΔE_f (raw): -0.905 eV/atom
- Energy relative to the lowest polymorph listed for this composition: 0 meV/atom

Cell: 3.6945 3.6945 28.6617 Å, 90.00 90.00 120.00°
Closest atoms and distances in Å follow each position.
Space group R-3m (No. 166, hexagonal axes)
Asymmetric unit:
Rb (0.0000, 0.0000, 0.0000) [3 per cell]  6 Cl 3.13
Hf (0.0000, 0.0000, 0.5000) [3 per cell]  2 Cl 2.48
Cl (0.0000, 0.0000, 0.4134) [6 per cell]  1 Hf 2.48

***

# Rb2HfCl5

A relaxed Rb2HfCl5 crystal (GGA-PBE, the Alexandria database).

Summary:
- ΔE_f (raw): -1.741 eV/atom

Cell: 11.6382 7.7295 7.7121 Å, 90.00 122.82 90.00°
Closest atoms and distances in Å follow each position.
Space group Cm (No. 8)
Asymmetric unit:
Rb (0.0000, 0.0000, 0.0000) [2 per cell]  7 Cl 3.36-3.55
Rb (0.0053, 0.5000, 0.4956) [2 per cell]  6 Cl 3.46-3.64
Hf (0.2424, 0.0000, 0.7534) [2 per cell]  5 Cl 2.43-2.51
Cl (0.0123, 0.0000, 0.4454) [2 per cell]  1 Hf 2.43
Cl (0.2718, 0.2163, 0.0082) [4 per cell]  1 Hf 2.46
Cl (0.2931, 0.2407, 0.5868) [4 per cell]  1 Hf 2.51

***

# Rb2HfCl

A relaxed Rb2HfCl crystal (GGA-PBE, the Alexandria database).

Summary:
- ΔE_f (raw): 0.557 eV/atom
- Energy relative to the lowest polymorph listed for this composition: 324 meV/atom

Cell: 9.0360 9.0360 9.0360 Å, 90.00 90.00 90.00°
Closest atoms and distances in Å follow each position.
Space group Fm-3m (No. 225)
Asymmetric unit:
Rb (0.2500, 0.2500, 0.2500) [8 per cell]  4 Hf 3.91, 4 Cl 3.91
Hf (0.0000, 0.0000, 0.0000) [4 per cell]  8 Rb 3.91
Cl (0.0000, 0.0000, 0.5000) [4 per cell]  8 Rb 3.91

***

# RbHfCl14

A relaxed RbHfCl14 crystal (GGA-PBE, the Alexandria database).

Summary:
- ΔE_f (raw): -0.643 eV/atom

Cell: 9.7389 13.6243 8.1726 Å, 90.00 114.67 90.00°
Closest atoms and distances in Å follow each position.
Space group C2 (No. 5)
Asymmetric unit:
Rb (0.0000, 0.0000, 0.0000) [2 per cell]  4 Cl 3.38-3.73
Hf (0.0000, 0.3579, 0.0000) [2 per cell]  8 Cl 2.43-2.71
Cl (0.0000, 0.4576, 0.5000) [2 per cell]  2 Cl 2.30
Cl (0.0000, 0.9658, 0.5000) [2 per cell]  2 Cl 2.86
Cl (0.0088, 0.7474, 0.7810) [4 per cell]  1 Cl 2.11
Cl (0.0560, 0.2462, 0.2887) [4 per cell]  2 Cl 2.52-2.63, 1 Hf 2.67
Cl (0.1236, 0.4595, 0.8093) [4 per cell]  1 Cl 2.30
Cl (0.1813, 0.7274, 0.4659) [4 per cell]  1 Cl 2.11
Cl (0.2035, 0.2314, 0.9944) [4 per cell]  2 Cl 2.63-2.64, 1 Hf 2.64
Cl (0.2108, 0.4561, 0.2010) [4 per cell]  1 Hf 2.43

***

What is the ΔE_f (raw) in the fifth record? 0.557 eV/atom